Cu3NiAg: optimized geometry, GGA-PBE.

Output
For the formation enthalpy at 0 K, the calculation gives 0.79 eV per atom. Its density is 7.0 Mg/m³.

a = 4.384 Å, b = 4.384 Å, c = 4.384 Å
α = 90.00°, β = 90.00°, γ = 90.00°
Fractional positions:
Ag 0.500 0.500 0.500
Cu 0.000 0.000 0.500
Cu 0.000 0.500 0.000
Cu 0.500 0.000 0.000
Ni 0.000 0.000 0.000